1.
A geometry-optimized YP2PdCl structure. Source: Alexandria via LeMat-Bulk, functional PBE.

Unit cell a=5.3369 b=5.3369 c=5.0839 alpha=90.00 beta=90.00 gamma=90.00
Atoms (fractional coordinates):
Y1 0.0000 0.0000 0.0000
P1 0.0000 0.5000 0.0000
P2 0.5000 0.0000 0.0000
Pd1 0.5000 0.5000 0.5000
Cl1 0.0000 0.0000 0.5000

offset from the most stable computed form = 0.615 eV/atom
ΔE_f (raw) = 35.0 kJ/mol of atoms
M_tot = 0.00 μB/cell
density of states at the Fermi level = 5.3 states/eV per cell
electronic total energy = -22.51 eV/f.u.

2.
A geometry-optimized ZrPPdCl2 structure. Source: Alexandria via LeMat-Bulk, functional PBE.

Unit cell a=4.9478 b=4.9478 c=5.1774 alpha=90.00 beta=90.00 gamma=90.00
Atoms (fractional coordinates):
Zr1 0.0000 0.0000 0.0000
P1 0.0000 0.0000 0.5000
Pd1 0.5000 0.5000 0.5000
Cl1 0.0000 0.5000 0.0000
Cl2 0.5000 0.0000 0.0000

offset from the most stable computed form = 0.000 eV/atom
ΔE_f (raw) = -21.9 kJ/mol of atoms
M_tot = 0.78 μB/cell
density of states at the Fermi level = 5.4 states/eV per cell
electronic total energy = -23.98 eV/f.u.

3.
A geometry-optimized ZrPPdCl2 structure. Source: Alexandria via LeMat-Bulk, functional PBE.

Unit cell a=4.6543 b=4.6543 c=4.9485 alpha=90.00 beta=90.00 gamma=90.00
Atoms (fractional coordinates):
Zr1 0.0000 0.0000 0.0000
P1 0.5000 0.5000 0.0000
Pd1 0.5000 0.5000 0.5000
Cl1 0.0000 0.5000 0.5000
Cl2 0.5000 0.0000 0.5000

offset from the most stable computed form = 0.371 eV/atom
ΔE_f (raw) = 13.9 kJ/mol of atoms
M_tot = 1.04 μB/cell
density of states at the Fermi level = 5.2 states/eV per cell
electronic total energy = -22.13 eV/f.u.